V2AgMoO8: optimized geometry, GGA+U.

```
V2AgMoO8
1.0
-3.533 3.533 3.020
3.533 -3.533 3.020
3.533 3.533 -3.020
V Ag Mo O
2 1 1 8
Direct
0.000 0.000 0.000
0.750 0.250 0.500
0.250 0.750 0.500
0.500 0.500 0.000
0.115 0.405 0.710
0.206 0.032 0.826
0.206 0.381 0.174
0.595 0.305 0.710
0.595 0.885 0.290
0.619 0.794 0.826
0.695 0.405 0.290
0.968 0.794 0.174
```

Properties
Space-group type: I-4m2, No. 119
E_tot, eV/atom: -6.77